Computed, not measured: an optimized crystal structure of SrSiBC2 at the GGA-PBE level of DFT.

Computed properties:
total energy = -26.171 eV per formula unit
energy relative to the elements, uncorrected = 1.2118 eV per atom
SG = P4/mmm
DOS(E_F) = 2.2 states/eV per cell

a b c (Å): 3.9424 3.9424 4.0937
angles (deg): 90.00 90.00 90.00
Atoms (fractional coordinates):
Sr (0.0000, 0.0000, 0.0000)
Si (0.5000, 0.5000, 0.5000)
B (0.5000, 0.5000, 0.0000)
C (0.0000, 0.5000, 0.5000)
C (0.5000, 0.0000, 0.5000)